(1)
SrAu5: optimized geometry, PBE-GGA.

Density of states at the Fermi level in states/eV per cell: 4.11
Formation energy from the elements in kJ per mole of atoms: -34.74
Mass density in g/cm3: 13.09

a b c (Å): 11.154 4.289 5.741
angles (deg): 90.00 97.78 90.00
Space group C2/m (No. 12)
Asymmetric unit:
Sr 0.000 0.000 0.000 [2 per cell]
Au 0.000 0.500 0.500 [2 per cell]
Au 0.166 0.000 0.542 [4 per cell]
Au 0.205 0.500 0.863 [4 per cell]


(2)
SrMgO2F: optimized geometry, PBE-GGA.

Density of states at the Fermi level in states/eV per cell: 0.71
Total energy in eV/f.u.: -28.10
Mass density in g/cm3: 4.17

a b c (Å): 3.999 3.999 4.054
angles (deg): 90.00 90.00 90.00
Space group P4/mmm (No. 123)
Asymmetric unit:
Sr 0.000 0.000 0.000 [1 per cell]
Mg 0.500 0.500 0.500 [1 per cell]
O 0.000 0.500 0.500 [2 per cell]
F 0.500 0.500 0.000 [1 per cell]


(3)
CrMo2S5: optimized geometry, PBE-GGA.

Density of states at the Fermi level in states/eV per cell: 8.08
Total energy in eV/f.u.: -55.11
Mass density in g/cm3: 3.73

a b c (Å): 4.343 12.786 12.963
angles (deg): 90.00 90.00 90.00
Space group Fmmm (No. 69)
Asymmetric unit:
Cr 0.000 0.000 0.000 [4 per cell]
Mo 0.000 0.186 0.500 [8 per cell]
S 0.000 0.000 0.500 [4 per cell]
S 0.000 0.164 0.115 [16 per cell]


(4)
Ac2Tl8Zn: optimized geometry, PBE-GGA.

Density of states at the Fermi level in states/eV per cell: 5.01
Formation energy from the elements in kJ per mole of atoms: -18.22
Mass density in g/cm3: 10.78

a b c (Å): 5.086 5.086 12.829
angles (deg): 90.00 90.00 90.00
Space group P4/mmm (No. 123)
Asymmetric unit:
Ac 0.000 0.000 0.193 [2 per cell]
Tl 0.000 0.500 0.000 [2 per cell]
Tl 0.000 0.500 0.376 [4 per cell]
Tl 0.500 0.500 0.191 [2 per cell]
Zn 0.000 0.000 0.500 [1 per cell]